(1)
Material: NdGaCo
Method: DFT, PBE
State: relaxed

Unit cell a=4.1977 b=4.1977 c=3.9882 alpha=90.00 beta=90.00 gamma=120.00
With the nearest neighbours (Å) after each atom.
Element x y z (fractional)
Nd  0.0000  0.0000  0.0000  6 Co 3.14, 6 Ga 3.14
Ga  0.6667  0.3333  0.5000  3 Co 2.42
Co  0.3333  0.6667  0.5000  3 Ga 2.42

Properties
DFT formation energy (eV per atom): -0.344
Symmetry: P-6m2


(2)
Material: Nd3Ga2Co
Method: DFT, PBE
State: relaxed

Unit cell a=12.1313 b=4.1358 c=11.9336 alpha=90.00 beta=90.00 gamma=90.00
With the nearest neighbours (Å) after each atom.
Element x y z (fractional)
Nd  0.0450  0.2500  0.1286  5 Ga 3.03-3.26, 1 Co 3.17
Nd  0.1164  0.7500  0.5518  3 Co 2.92-3.12, 5 Ga 3.09-3.16
Nd  0.2315  0.2500  0.7937  2 Co 2.84, 1 Ga 3.05
Nd  0.2685  0.7500  0.2937  2 Co 2.84, 1 Ga 3.05
Nd  0.3836  0.2500  0.0518  3 Co 2.92-3.12, 5 Ga 3.09-3.16
Nd  0.4550  0.7500  0.6286  5 Ga 3.03-3.26, 1 Co 3.17
Nd  0.5450  0.2500  0.3714  5 Ga 3.03-3.26, 1 Co 3.17
Nd  0.6164  0.7500  0.9482  3 Co 2.92-3.12, 5 Ga 3.09-3.16
Nd  0.7315  0.2500  0.7063  2 Co 2.84, 1 Ga 3.05
Nd  0.7685  0.7500  0.2063  2 Co 2.84, 1 Ga 3.05
Nd  0.8836  0.2500  0.4482  3 Co 2.92-3.12, 5 Ga 3.09-3.16
Nd  0.9550  0.7500  0.8714  5 Ga 3.03-3.26, 1 Co 3.17
Ga  0.0178  0.7500  0.3126  2 Co 2.61
Ga  0.1942  0.7500  0.9966  1 Co 2.53
Ga  0.3058  0.2500  0.4966  1 Co 2.53
Ga  0.4822  0.2500  0.8126  2 Co 2.61
Ga  0.5178  0.7500  0.1874  2 Co 2.61
Ga  0.6942  0.7500  0.5034  1 Co 2.53
Ga  0.8058  0.2500  0.0034  1 Co 2.53
Ga  0.9822  0.2500  0.6874  2 Co 2.61
Co  0.1317  0.2500  0.3795  3 Ga 2.53-2.61
Co  0.3683  0.7500  0.8795  3 Ga 2.53-2.61
Co  0.6317  0.2500  0.1205  3 Ga 2.53-2.61
Co  0.8683  0.7500  0.6205  3 Ga 2.53-2.61

Properties
DFT formation energy (eV per atom): -0.420
Symmetry: Pnma


(3)
Material: Nd6GaCo2
Method: DFT, PBE
State: relaxed

Unit cell a=8.5691 b=8.5691 c=8.5691 alpha=112.31 beta=109.00 gamma=107.15
With the nearest neighbours (Å) after each atom.
Element x y z (fractional)
Nd  0.0416  0.2372  0.8044  1 Co 2.78, 1 Ga 3.10
Nd  0.1803  0.2815  0.4618  3 Co 2.98-3.09, 1 Ga 3.23
Nd  0.1803  0.7185  0.8988  3 Co 2.98-3.09, 1 Ga 3.23
Nd  0.3257  0.0116  0.6859  3 Co 2.81-3.00
Nd  0.3257  0.6399  0.3141  3 Co 2.81-3.00
Nd  0.4328  0.2372  0.1956  1 Co 2.78, 1 Ga 3.10
Nd  0.5672  0.7628  0.8044  1 Co 2.78, 1 Ga 3.10
Nd  0.6743  0.3601  0.6859  3 Co 2.81-3.00
Nd  0.6743  0.9884  0.3141  3 Co 2.81-3.00
Nd  0.8197  0.2815  0.1012  3 Co 2.98-3.09, 1 Ga 3.23
Nd  0.8197  0.7185  0.5382  3 Co 2.98-3.09, 1 Ga 3.23
Nd  0.9584  0.7628  0.1956  1 Co 2.78, 1 Ga 3.10
Ga  0.0000  0.0000  0.0000  8 Nd 3.10-3.23, 2 Co 3.33
Ga  0.5000  0.5000  0.0000  8 Nd 3.31-3.48
Co  0.1114  0.6114  0.5000  1 Co 2.27
Co  0.3344  0.0000  0.3344  8 Nd 2.78-3.09
Co  0.6656  0.0000  0.6656  8 Nd 2.78-3.09
Co  0.8886  0.3886  0.5000  1 Co 2.27

Properties
DFT formation energy (eV per atom): -0.182
Symmetry: Immm


(4)
Material: Nd5GaCo2
Method: DFT, PBE
State: relaxed

Unit cell a=8.7385 b=8.7385 c=8.7385 alpha=127.27 beta=127.27 gamma=77.82
With the nearest neighbours (Å) after each atom.
Element x y z (fractional)
Nd  0.0000  0.0000  0.0000  4 Co 3.14, 2 Ga 3.40, 8 Nd 3.45
Nd  0.0304  0.5304  0.8383  3 Co 2.91-3.07, 2 Ga 3.26
Nd  0.1921  0.0304  0.5000  3 Co 2.91-3.07, 2 Ga 3.26
Nd  0.3079  0.8079  0.8383  3 Co 2.91-3.07, 2 Ga 3.26
Nd  0.4696  0.3079  0.5000  3 Co 2.91-3.07, 2 Ga 3.26
Nd  0.5000  0.5000  0.0000  4 Co 3.14, 2 Ga 3.40, 8 Nd 3.45
Nd  0.5304  0.6921  0.5000  3 Co 2.91-3.07, 2 Ga 3.26
Nd  0.6921  0.1921  0.1617  3 Co 2.91-3.07, 2 Ga 3.26
Nd  0.8079  0.9696  0.5000  3 Co 2.91-3.07, 2 Ga 3.26
Nd  0.9696  0.4696  0.1617  3 Co 2.91-3.07, 2 Ga 3.26
Ga  0.2500  0.2500  0.0000  10 Nd 3.26-3.40
Ga  0.7500  0.7500  0.0000  10 Nd 3.26-3.40
Co  0.1105  0.3895  0.5000  1 Co 2.42
Co  0.3895  0.8895  0.2791  1 Co 2.42
Co  0.6105  0.1105  0.7209  1 Co 2.42
Co  0.8895  0.6105  0.5000  1 Co 2.42

Properties
DFT formation energy (eV per atom): -0.182
Symmetry: I4/mcm


(5)
Material: Nd2Ga9Co3
Method: DFT, PBE
State: relaxed

Unit cell a=7.4376 b=7.4376 c=9.5849 alpha=90.00 beta=90.00 gamma=60.37
With the nearest neighbours (Å) after each atom.
Element x y z (fractional)
Nd  0.0029  0.6683  0.7500  11 Ga 3.02-3.10
Nd  0.3317  0.9971  0.7500  11 Ga 3.02-3.10
Nd  0.6683  0.0029  0.2500  11 Ga 3.02-3.10
Nd  0.9971  0.3317  0.2500  11 Ga 3.02-3.10
Ga  0.0025  0.6659  0.0699  3 Co 2.55-2.57, 4 Ga 2.74-2.82
Ga  0.0025  0.6659  0.4301  3 Co 2.55-2.57, 4 Ga 2.74-2.82
Ga  0.1245  0.8755  0.2500  2 Co 2.57, 6 Ga 2.73-2.76
Ga  0.3341  0.9975  0.0699  3 Co 2.55-2.57, 4 Ga 2.74-2.82
Ga  0.3341  0.9975  0.4301  3 Co 2.55-2.57, 4 Ga 2.74-2.82
Ga  0.3350  0.6650  0.5531  3 Co 2.56, 5 Ga 2.67-2.86
Ga  0.3350  0.6650  0.9469  3 Co 2.56, 5 Ga 2.67-2.86
Ga  0.3368  0.4531  0.2500  2 Co 2.58, 6 Ga 2.70-2.86
Ga  0.4531  0.3368  0.7500  2 Co 2.58, 6 Ga 2.70-2.86
Ga  0.5469  0.6632  0.2500  2 Co 2.58, 6 Ga 2.70-2.86
Ga  0.6632  0.5469  0.7500  2 Co 2.58, 6 Ga 2.70-2.86
Ga  0.6650  0.3350  0.0531  3 Co 2.56, 5 Ga 2.67-2.86
Ga  0.6650  0.3350  0.4469  3 Co 2.56, 5 Ga 2.67-2.86
Ga  0.6659  0.0025  0.5699  3 Co 2.55-2.57, 4 Ga 2.74-2.82
Ga  0.6659  0.0025  0.9301  3 Co 2.55-2.57, 4 Ga 2.74-2.82
Ga  0.8755  0.1245  0.7500  2 Co 2.57, 6 Ga 2.73-2.76
Ga  0.9975  0.3341  0.5699  3 Co 2.55-2.57, 4 Ga 2.74-2.82
Ga  0.9975  0.3341  0.9301  3 Co 2.55-2.57, 4 Ga 2.74-2.82
Co  0.0000  0.0000  0.0000  8 Ga 2.56-2.57
Co  0.0000  0.0000  0.5000  8 Ga 2.56-2.57
Co  0.3298  0.3298  0.0000  8 Ga 2.55-2.58
Co  0.3298  0.3298  0.5000  8 Ga 2.55-2.58
Co  0.6702  0.6702  0.0000  8 Ga 2.55-2.58
Co  0.6702  0.6702  0.5000  8 Ga 2.55-2.58

Properties
DFT formation energy (eV per atom): -0.471
Symmetry: Cmcm


(6)
Material: NdGa3Co
Method: DFT, PBE
State: relaxed

Unit cell a=4.5758 b=4.5758 c=4.5758 alpha=90.00 beta=90.00 gamma=90.00
With the nearest neighbours (Å) after each atom.
Element x y z (fractional)
Nd  0.0000  0.0000  0.0000  12 Ga 3.24
Ga  0.0000  0.5000  0.5000  2 Co 2.29
Ga  0.5000  0.0000  0.5000  2 Co 2.29
Ga  0.5000  0.5000  0.0000  2 Co 2.29
Co  0.5000  0.5000  0.5000  6 Ga 2.29

Properties
DFT formation energy (eV per atom): -0.419
Symmetry: Pm-3m


(7)
Material: Nd3GaCo
Method: DFT, PBE
State: relaxed

Unit cell a=3.7809 b=8.4417 c=8.5636 alpha=89.22 beta=89.98 gamma=77.07
With the nearest neighbours (Å) after each atom.
Element x y z (fractional)
Nd  0.0461  0.4072  0.1889  4 Ga 3.17-3.32
Nd  0.2506  0.9980  0.8004  3 Co 2.91-3.04, 2 Ga 3.17
Nd  0.3971  0.7071  0.4533  3 Co 2.79-2.95
Nd  0.6029  0.2929  0.5467  3 Co 2.79-2.95
Nd  0.7494  0.0020  0.1996  3 Co 2.91-3.04, 2 Ga 3.17
Nd  0.9539  0.5928  0.8111  4 Ga 3.17-3.32
Ga  0.3901  0.7209  0.0801  8 Nd 3.17-3.32
Ga  0.6099  0.2791  0.9199  8 Nd 3.17-3.32
Co  0.2165  0.0662  0.4501  2 Co 2.33-2.34
Co  0.7835  0.9338  0.5499  2 Co 2.33-2.34

Properties
DFT formation energy (eV per atom): -0.223
Symmetry: P-1


(8)
Material: NdGa4Co3
Method: DFT, PBE
State: relaxed

Unit cell a=5.1291 b=7.9159 c=6.7791 alpha=90.00 beta=90.00 gamma=90.00
With the nearest neighbours (Å) after each atom.
Element x y z (fractional)
Nd  0.0000  0.0000  0.0000  8 Ga 3.14, 6 Co 3.39-3.42
Nd  0.5000  0.5000  0.0000  8 Ga 3.14, 6 Co 3.39-3.42
Ga  0.2500  0.2500  0.3049  2 Co 2.37, 3 Ga 2.56-2.65
Ga  0.2500  0.2500  0.6951  2 Co 2.37, 3 Ga 2.56-2.65
Ga  0.2500  0.7500  0.3049  2 Co 2.37, 3 Ga 2.56-2.65
Ga  0.2500  0.7500  0.6951  2 Co 2.37, 3 Ga 2.56-2.65
Ga  0.7500  0.2500  0.3049  2 Co 2.37, 3 Ga 2.56-2.65
Ga  0.7500  0.2500  0.6951  2 Co 2.37, 3 Ga 2.56-2.65
Ga  0.7500  0.7500  0.3049  2 Co 2.37, 3 Ga 2.56-2.65
Ga  0.7500  0.7500  0.6951  2 Co 2.37, 3 Ga 2.56-2.65
Co  0.0000  0.0000  0.5000  8 Ga 2.70, 4 Co 2.80
Co  0.0000  0.5000  0.3335  1 Co 2.26, 4 Ga 2.37
Co  0.0000  0.5000  0.6665  1 Co 2.26, 4 Ga 2.37
Co  0.5000  0.0000  0.3335  1 Co 2.26, 4 Ga 2.37
Co  0.5000  0.0000  0.6665  1 Co 2.26, 4 Ga 2.37
Co  0.5000  0.5000  0.5000  8 Ga 2.70, 4 Co 2.80

Properties
DFT formation energy (eV per atom): -0.123
Symmetry: Cmmm


(9)
Material: Nd8Ga2Co
Method: DFT, PBE
State: relaxed

Unit cell a=9.5617 b=9.5617 c=6.9030 alpha=100.39 beta=100.39 gamma=30.61
With the nearest neighbours (Å) after each atom.
Element x y z (fractional)
Nd  0.0194  0.0194  0.2800  2 Co 3.00, 1 Ga 3.17, 1 Nd 3.25
Nd  0.2087  0.2087  0.8068  3 Ga 3.13-3.22, 2 Nd 3.45
Nd  0.3507  0.3507  0.5253  1 Co 2.79
Nd  0.4083  0.4083  0.0426  1 Co 3.29, 7 Nd 3.46-3.68, 2 Ga 3.49
Nd  0.5917  0.5917  0.9574  1 Co 3.29, 7 Nd 3.46-3.68, 2 Ga 3.49
Nd  0.6493  0.6493  0.4747  1 Co 2.79
Nd  0.7913  0.7913  0.1932  3 Ga 3.13-3.22, 2 Nd 3.45
Nd  0.9806  0.9806  0.7200  2 Co 3.00, 1 Ga 3.17, 1 Nd 3.25
Ga  0.1883  0.1883  0.2466  9 Nd 3.13-3.49
Ga  0.8117  0.8117  0.7534  9 Nd 3.13-3.49
Co  0.5000  0.5000  0.5000  6 Nd 2.79-3.00

Properties
DFT formation energy (eV per atom): -0.194
Symmetry: C2/m


(10)
Material: Nd4Ga16Co3
Method: DFT, PBE
State: relaxed

Unit cell a=6.1165 b=6.1165 c=11.3288 alpha=90.00 beta=90.00 gamma=90.00
With the nearest neighbours (Å) after each atom.
Element x y z (fractional)
Nd  0.0000  0.5000  0.1961  12 Ga 3.06-3.11
Nd  0.0000  0.5000  0.8039  12 Ga 3.06-3.11
Nd  0.5000  0.0000  0.1961  12 Ga 3.06-3.11
Nd  0.5000  0.0000  0.8039  12 Ga 3.06-3.11
Ga  0.0000  0.0000  0.1932  8 Ga 2.90-3.09, 4 Nd 3.06
Ga  0.0000  0.0000  0.8068  8 Ga 2.90-3.09, 4 Nd 3.06
Ga  0.2199  0.2199  0.0000  1 Co 2.42, 2 Ga 2.69
Ga  0.2199  0.7801  0.0000  1 Co 2.42, 2 Ga 2.69
Ga  0.2511  0.2511  0.3874  2 Co 2.51, 1 Ga 2.55
Ga  0.2511  0.2511  0.6126  2 Co 2.51, 1 Ga 2.55
Ga  0.2511  0.7489  0.3874  2 Co 2.51, 1 Ga 2.55
Ga  0.2511  0.7489  0.6126  2 Co 2.51, 1 Ga 2.55
Ga  0.5000  0.5000  0.2188  1 Co 2.48
Ga  0.5000  0.5000  0.7812  1 Co 2.48
Ga  0.7489  0.2511  0.3874  2 Co 2.51, 1 Ga 2.55
Ga  0.7489  0.2511  0.6126  2 Co 2.51, 1 Ga 2.55
Ga  0.7489  0.7489  0.3874  2 Co 2.51, 1 Ga 2.55
Ga  0.7489  0.7489  0.6126  2 Co 2.51, 1 Ga 2.55
Ga  0.7801  0.2199  0.0000  1 Co 2.42, 2 Ga 2.69
Ga  0.7801  0.7801  0.0000  1 Co 2.42, 2 Ga 2.69
Co  0.0000  0.5000  0.5000  8 Ga 2.51
Co  0.5000  0.0000  0.5000  8 Ga 2.51
Co  0.5000  0.5000  0.0000  6 Ga 2.42-2.48

Properties
DFT formation energy (eV per atom): -0.506
Symmetry: P4/mmm


(11)
Material: Nd2Ga5Co2
Method: DFT, PBE
State: relaxed

Unit cell a=4.5307 b=4.5307 c=9.0236 alpha=90.00 beta=90.00 gamma=90.00
With the nearest neighbours (Å) after each atom.
Element x y z (fractional)
Nd  0.0000  0.0000  0.0000  8 Ga 3.10
Nd  0.0000  0.0000  0.5000  12 Ga 3.20-3.30
Ga  0.0000  0.5000  0.2341  2 Co 2.27
Ga  0.0000  0.5000  0.7659  2 Co 2.27
Ga  0.5000  0.0000  0.2341  2 Co 2.27
Ga  0.5000  0.0000  0.7659  2 Co 2.27
Ga  0.5000  0.5000  0.5000  2 Co 2.23
Co  0.5000  0.5000  0.2525  5 Ga 2.23-2.27
Co  0.5000  0.5000  0.7475  5 Ga 2.23-2.27

Properties
DFT formation energy (eV per atom): -0.346
Symmetry: P4/mmm


(12)
Material: NdGa3Co3
Method: DFT, PBE
State: relaxed

Unit cell a=7.7619 b=7.7619 c=7.7619 alpha=49.90 beta=49.90 gamma=49.90
With the nearest neighbours (Å) after each atom.
Element x y z (fractional)
Nd  0.1667  0.1667  0.1667  3 Co 2.83, 3 Ga 3.11
Nd  0.8333  0.8333  0.8333  3 Co 2.83, 3 Ga 3.11
Ga  0.1186  0.6116  0.4559  4 Co 2.39-2.59
Ga  0.3884  0.5441  0.8814  4 Co 2.39-2.59
Ga  0.4559  0.1186  0.6116  4 Co 2.39-2.59
Ga  0.5441  0.8814  0.3884  4 Co 2.39-2.59
Ga  0.6116  0.4559  0.1186  4 Co 2.39-2.59
Ga  0.8814  0.3884  0.5441  4 Co 2.39-2.59
Co  0.0219  0.2828  0.8383  4 Ga 2.39-2.59, 4 Co 2.43-2.53
Co  0.1617  0.9781  0.7173  4 Ga 2.39-2.59, 4 Co 2.43-2.53
Co  0.2828  0.8383  0.0219  4 Ga 2.39-2.59, 4 Co 2.43-2.53
Co  0.7172  0.1617  0.9781  4 Ga 2.39-2.59, 4 Co 2.43-2.53
Co  0.8383  0.0219  0.2828  4 Ga 2.39-2.59, 4 Co 2.43-2.53
Co  0.9781  0.7172  0.1617  4 Ga 2.39-2.59, 4 Co 2.43-2.53

Properties
DFT formation energy (eV per atom): -0.135
Symmetry: R-3